1.
Density functional theory data (GGA-PBE) for NaLa2Rh2 after structural relaxation.

Its crystal system is tetragonal. Its volume is 30.70 Å³ per atom. Its energy above the lowest structure with this stoichiometry is 193.8 meV per atom. The space-group type is I4/mmm. The density of states at the Fermi level is 3.034 states/eV/f.u. Its energy of formation from the pure elements is -282 meV per atom.

Cell lengths 9.530, 9.530, 9.530 Å; angles 155.08, 155.08, 35.54 degrees
Sites, in units of the cell vectors:
Na (0.000, 0.000, 0.000)
La (0.353, 0.353, 0.000)
La (0.647, 0.647, 0.000)
Rh (0.250, 0.750, 0.500)
Rh (0.750, 0.250, 0.500)

2.
Density functional theory data (GGA-PBE) for Na3LaRh after structural relaxation.

Its crystal system is tetragonal. Its volume is 32.62 Å³ per atom. Its energy above the lowest structure with this stoichiometry is 143.1 meV per atom. The space-group type is P4mm. The density of states at the Fermi level is 2.904 states/eV/f.u. Its energy of formation from the pure elements is 9 meV per atom.

Cell lengths 4.005, 4.005, 10.169 Å; angles 90.00, 90.00, 90.00 degrees
Sites, in units of the cell vectors:
Na (0.000, 0.000, 0.000)
Na (0.000, 0.500, 0.695)
Na (0.500, 0.000, 0.695)
La (0.000, 0.000, 0.386)
Rh (0.500, 0.500, 0.455)

3.
Density functional theory data (GGA-PBE) for Na3LaRh after structural relaxation.

Its crystal system is orthorhombic. Its volume is 30.52 Å³ per atom. Its energy above the lowest structure with this stoichiometry is 141.4 meV per atom. The space-group type is Pnma. The density of states at the Fermi level is 2.138 states/eV/f.u. Its energy of formation from the pure elements is 7 meV per atom.

Cell lengths 6.796, 8.121, 11.057 Å; angles 90.00, 90.00, 90.00 degrees
Sites, in units of the cell vectors:
Na (0.031, 0.070, 0.143)
Na (0.031, 0.430, 0.143)
Na (0.162, 0.250, 0.793)
Na (0.338, 0.750, 0.293)
Na (0.469, 0.570, 0.643)
Na (0.469, 0.930, 0.643)
Na (0.531, 0.070, 0.357)
Na (0.531, 0.430, 0.357)
Na (0.662, 0.250, 0.707)
Na (0.838, 0.750, 0.207)
Na (0.969, 0.570, 0.857)
Na (0.969, 0.930, 0.857)
La (0.000, 0.000, 0.500)
La (0.000, 0.500, 0.500)
La (0.500, 0.000, 0.000)
La (0.500, 0.500, 0.000)
Rh (0.228, 0.250, 0.528)
Rh (0.272, 0.750, 0.028)
Rh (0.728, 0.250, 0.972)
Rh (0.772, 0.750, 0.472)

4.
Density functional theory data (GGA-PBE) for Na3LaRh after structural relaxation.

Its crystal system is monoclinic. Its volume is 28.34 Å³ per atom. Its energy above the lowest structure with this stoichiometry is 17.5 meV per atom. The space-group type is P2_1/m. The density of states at the Fermi level is 3.221 states/eV/f.u. Its energy of formation from the pure elements is -117 meV per atom.

Cell lengths 5.316, 6.186, 8.789 Å; angles 90.00, 101.31, 90.00 degrees
Sites, in units of the cell vectors:
Na (0.030, 0.250, 0.091)
Na (0.439, 0.009, 0.794)
Na (0.439, 0.491, 0.794)
Na (0.561, 0.509, 0.206)
Na (0.561, 0.991, 0.206)
Na (0.970, 0.750, 0.909)
La (0.168, 0.750, 0.445)
La (0.832, 0.250, 0.555)
Rh (0.247, 0.250, 0.452)
Rh (0.753, 0.750, 0.548)

5.
Density functional theory data (GGA-PBE) for NaLa2Rh after structural relaxation.

Its crystal system is tetragonal. Its volume is 31.33 Å³ per atom. Its energy above the lowest structure with this stoichiometry is 90.2 meV per atom. The space-group type is P4/mmm. The density of states at the Fermi level is 4.012 states/eV/f.u. Its energy of formation from the pure elements is -311 meV per atom.

Cell lengths 3.617, 3.617, 9.581 Å; angles 90.00, 90.00, 90.00 degrees
Sites, in units of the cell vectors:
Na (0.000, 0.000, 0.000)
La (0.500, 0.500, 0.324)
La (0.500, 0.500, 0.676)
Rh (0.000, 0.000, 0.500)

6.
Density functional theory data (GGA-PBE) for NaLaRh3 after structural relaxation.

Its crystal system is cubic. Its volume is 20.15 Å³ per atom. Its energy above the lowest structure with this stoichiometry is 0.0 meV per atom. The space-group type is Pm-3m. The density of states at the Fermi level is 7.770 states/eV/f.u. Its energy of formation from the pure elements is 664 meV per atom.

Cell lengths 4.653, 4.653, 4.653 Å; angles 90.00, 90.00, 90.00 degrees
Sites, in units of the cell vectors:
Na (0.000, 0.000, 0.000)
La (0.500, 0.500, 0.500)
Rh (0.000, 0.000, 0.500)
Rh (0.000, 0.500, 0.000)
Rh (0.500, 0.000, 0.000)

7.
Density functional theory data (GGA-PBE) for Na3LaRh after structural relaxation.

Its crystal system is orthorhombic. Its volume is 27.97 Å³ per atom. Its energy above the lowest structure with this stoichiometry is 240.2 meV per atom. The space-group type is Cmcm. The density of states at the Fermi level is 4.478 states/eV/f.u. Its energy of formation from the pure elements is 106 meV per atom.

Cell lengths 8.746, 8.746, 6.251 Å; angles 90.00, 90.00, 144.20 degrees
Sites, in units of the cell vectors:
Na (0.000, 0.000, 0.000)
Na (0.000, 0.000, 0.500)
Na (0.061, 0.424, 0.250)
Na (0.424, 0.061, 0.750)
Na (0.576, 0.939, 0.250)
Na (0.939, 0.576, 0.750)
La (0.386, 0.614, 0.750)
La (0.614, 0.386, 0.250)
Rh (0.152, 0.848, 0.250)
Rh (0.848, 0.152, 0.750)

8.
Density functional theory data (GGA-PBE) for Na3LaRh after structural relaxation.

Its crystal system is monoclinic. Its volume is 32.05 Å³ per atom. Its energy above the lowest structure with this stoichiometry is 22.9 meV per atom. The space-group type is P2_1/m. The density of states at the Fermi level is 3.156 states/eV/f.u. Its energy of formation from the pure elements is -111 meV per atom.

Cell lengths 7.734, 3.945, 10.829 Å; angles 90.00, 104.03, 90.00 degrees
Sites, in units of the cell vectors:
Na (0.061, 0.250, 0.377)
Na (0.263, 0.750, 0.198)
Na (0.397, 0.750, 0.610)
Na (0.603, 0.250, 0.390)
Na (0.737, 0.250, 0.802)
Na (0.939, 0.750, 0.623)
La (0.251, 0.250, 0.902)
La (0.749, 0.750, 0.098)
Rh (0.036, 0.750, 0.917)
Rh (0.964, 0.250, 0.083)